# 1
The following is a PBE-GGA calculation of PrNd2Sc after structural relaxation, from Alexandria via LeMat-Bulk.

a = 11.788 Å, b = 11.788 Å, c = 11.788 Å
α = 17.56°, β = 17.56°, γ = 17.56°
Positions (direct):
Pr1 0.000 0.000 0.000
Nd1 0.245 0.245 0.245
Nd2 0.755 0.755 0.755
Sc1 0.500 0.500 0.500

The calculation puts the total energy at -5.1069 eV/atom. The total moment comes out at 0.000 μB per atom. The formation energy from the elements is 0.05 eV/atom. As for the distance to the lowest polymorph of the same formula: 0.017 eV/atom.

# 2
The following is a PBE-GGA calculation of BeTcPdPt2 after structural relaxation, from Alexandria via LeMat-Bulk.

a = 4.187 Å, b = 4.187 Å, c = 4.217 Å
α = 90.00°, β = 90.00°, γ = 90.00°
Positions (direct):
Be1 0.000 0.000 0.000
Tc1 0.000 0.000 0.500
Pd1 0.500 0.500 0.500
Pt1 0.000 0.500 0.000
Pt2 0.500 0.000 0.000

The calculation puts the total energy at -5.9340 eV/atom. The total moment comes out at 0.408 μB per atom. The formation energy from the elements is 0.34 eV/atom. As for the distance to the lowest polymorph of the same formula: 0.000 eV/atom.

# 3
The following is a PBE-GGA calculation of PrIn2BiTe4 after structural relaxation, from Alexandria via LeMat-Bulk.

a = 7.944 Å, b = 4.562 Å, c = 8.335 Å
α = 90.00°, β = 108.52°, γ = 90.00°
Positions (direct):
Pr1 0.000 0.000 0.000
In1 0.000 0.500 0.500
In2 0.500 0.000 0.500
Bi1 0.500 0.500 0.000
Te1 0.244 0.500 0.231
Te2 0.258 0.000 0.769
Te3 0.742 0.000 0.231
Te4 0.756 0.500 0.769

The calculation puts the total energy at -3.9442 eV/atom. Its uncorrected formation energy is -0.606 eV/atom. The total moment comes out at 0.000 μB per atom.

# 4
The following is a PBE-GGA calculation of MnIrPb2 after structural relaxation, from Alexandria via LeMat-Bulk.

a = 4.516 Å, b = 4.516 Å, c = 6.861 Å
α = 100.12°, β = 100.12°, γ = 42.32°
Positions (direct):
Mn1 0.000 0.000 0.000
Ir1 0.728 0.728 0.136
Pb1 0.245 0.245 0.769
Pb2 0.480 0.480 0.372

The calculation puts the total energy at -6.0512 eV/atom. The total moment comes out at 0.894 μB per atom. The formation energy from the elements is 0.31 eV/atom. As for the distance to the lowest polymorph of the same formula: 0.139 eV/atom.

# 5
The following is a PBE-GGA calculation of Tb7Pm6Y16 after structural relaxation, from Alexandria via LeMat-Bulk.

a = 11.236 Å, b = 11.236 Å, c = 11.236 Å
α = 60.00°, β = 60.00°, γ = 60.00°
Positions (direct):
Tb1 0.000 0.000 0.000
Tb2 0.000 0.000 0.500
Tb3 0.000 0.500 0.000
Tb4 0.000 0.500 0.500
Tb5 0.500 0.000 0.000
Tb6 0.500 0.000 0.500
Tb7 0.500 0.500 0.000
Pm1 0.270 0.270 0.730
Pm2 0.270 0.730 0.270
Pm3 0.270 0.730 0.730
Pm4 0.730 0.270 0.270
Pm5 0.730 0.270 0.730
Pm6 0.730 0.730 0.270
Y1 0.049 0.650 0.650
Y2 0.126 0.126 0.126
Y3 0.126 0.126 0.623
Y4 0.126 0.623 0.126
Y5 0.350 0.350 0.350
Y6 0.350 0.350 0.951
Y7 0.350 0.951 0.350
Y8 0.377 0.874 0.874
Y9 0.623 0.126 0.126
Y10 0.650 0.049 0.650
Y11 0.650 0.650 0.049
Y12 0.650 0.650 0.650
Y13 0.874 0.377 0.874
Y14 0.874 0.874 0.377
Y15 0.874 0.874 0.874
Y16 0.951 0.350 0.350

The calculation puts the total energy at -5.4238 eV/atom. The total moment comes out at 0.000 μB per atom. The formation energy from the elements is 0.24 eV/atom.

# 6
The following is a PBE-GGA calculation of SrEuMgBiO6 after structural relaxation, from Alexandria via LeMat-Bulk.

a = 5.811 Å, b = 5.811 Å, c = 5.811 Å
α = 60.00°, β = 60.00°, γ = 60.00°
Positions (direct):
Sr1 0.000 0.000 0.000
Eu1 0.500 0.500 0.500
Mg1 0.250 0.250 0.250
Bi1 0.750 0.750 0.750
O1 0.004 0.004 0.496
O2 0.004 0.496 0.004
O3 0.004 0.496 0.496
O4 0.496 0.004 0.004
O5 0.496 0.004 0.496
O6 0.496 0.496 0.004

The calculation puts the total energy at -6.7217 eV/atom. Its uncorrected formation energy is -2.004 eV/atom. The total moment comes out at 0.599 μB per atom.

# 7
The following is a PBE-GGA calculation of InGa2Ag after structural relaxation, from Alexandria via LeMat-Bulk.

a = 5.772 Å, b = 5.772 Å, c = 5.772 Å
α = 45.14°, β = 45.14°, γ = 45.14°
Positions (direct):
In1 0.000 0.000 0.000
Ga1 0.220 0.220 0.220
Ga2 0.421 0.421 0.421
Ag1 0.814 0.814 0.814

The calculation puts the total energy at -2.8463 eV/atom. The total moment comes out at 0.000 μB per atom. The formation energy from the elements is 0.06 eV/atom.

# 8
The following is a PBE-GGA calculation of Cu2Ni2Pd5 after structural relaxation, from Alexandria via LeMat-Bulk.

a = 7.220 Å, b = 7.220 Å, c = 6.389 Å
α = 90.00°, β = 90.00°, γ = 52.17°
Positions (direct):
Cu1 0.211 0.211 0.000
Cu2 0.289 0.289 0.500
Cu3 0.711 0.711 0.500
Cu4 0.789 0.789 0.000
Ni1 0.124 0.876 0.626
Ni2 0.376 0.624 0.126
Ni3 0.624 0.376 0.874
Ni4 0.876 0.124 0.374
Pd1 0.000 0.000 0.000
Pd2 0.037 0.691 0.326
Pd3 0.191 0.537 0.826
Pd4 0.309 0.963 0.326
Pd5 0.463 0.809 0.826
Pd6 0.500 0.500 0.500
Pd7 0.537 0.191 0.174
Pd8 0.691 0.037 0.674
Pd9 0.809 0.463 0.174
Pd10 0.963 0.309 0.674

The calculation puts the total energy at -4.9171 eV/atom. The total moment comes out at 0.299 μB per atom. The formation energy from the elements is 0.16 eV/atom.